DFT (PBEsol) results for a relaxed Zn2ReTe crystal.

Output
Its energy is -4.5998 eV/atom. For the spin magnetization, the calculation gives 0.00 μB per cell. The density of states at the Fermi level comes out at 1.90 states/eV/cell.

Unit cell a=8.5476 b=8.5476 c=8.5476 alpha=21.14 beta=21.14 gamma=21.14
Atoms (fractional coordinates):
Zn 0.0000 0.0000 0.0000
Zn 0.2578 0.2578 0.2578
Re 0.5123 0.5123 0.5123
Te 0.7694 0.7694 0.7694